SrAc3Cd4: relaxed, PBE.

Unit cell a=5.7464 b=5.7464 c=8.1795 alpha=90.00 beta=90.00 gamma=90.00
Closest atoms and distances in Å follow each position.
Space group P4/mmm (No. 123)
Asymmetric unit:
Sr1 0.0000 0.0000 0.0000 [1 per cell]  8 Cd 3.52
Ac1 0.0000 0.0000 0.5000 [1 per cell]  8 Cd 3.53
Ac2 0.5000 0.5000 0.0000 [1 per cell]  8 Cd 3.52
Ac3 0.5000 0.5000 0.5000 [1 per cell]  8 Cd 3.53
Cd1 0.0000 0.5000 0.2483 [4 per cell]  6 Ac 3.52-3.53, 2 Sr 3.52

Values from the calculation:
The calculated volume comes out at 33.8 Å³/atom. The formation energy comes out at -0.311 eV/atom. The value obtained for the magnetic moment is 0.00 μB/f.u. The value obtained for the total energy is -2.5197 eV/atom.